(1)
# PBE-GGA Sm2Si3Pt3, optimized geometry
# Uncorrected formation energy: 2.962 eV/f.u.
data_Sm2Si3Pt3
_cell_length_a 2.857
_cell_length_b 2.857
_cell_length_c 20.568
_cell_angle_alpha 90.00
_cell_angle_beta 90.00
_cell_angle_gamma 90.00
_space_group_name_H-M_alt 'P 4/m m m'
_space_group_IT_number 123
_space_group_name_Hall '-P 4 2'
loop_
_atom_site_label
_atom_site_fract_x
_atom_site_fract_y
_atom_site_fract_z
_atom_site_occupancy
Sm1 0.000 0.000 0.248 1
Si1 0.000 0.000 0.000 1
Si2 0.000 0.000 0.387 1
Pt1 0.000 0.000 0.112 1
Pt2 0.000 0.000 0.500 1

=====

(2)
# PBE-GGA TcNi2SnN, optimized geometry
# Energy relative to the lowest polymorph listed for this composition: 1722 meV per atom
# Uncorrected formation energy: 8.839 eV/f.u.
data_TcNi2SnN
_cell_length_a 4.712
_cell_length_b 4.712
_cell_length_c 4.012
_cell_angle_alpha 90.00
_cell_angle_beta 90.00
_cell_angle_gamma 90.00
_space_group_name_H-M_alt 'P 4/m m m'
_space_group_IT_number 123
_space_group_name_Hall '-P 4 2'
loop_
_atom_site_label
_atom_site_fract_x
_atom_site_fract_y
_atom_site_fract_z
_atom_site_occupancy
Tc1 0.000 0.000 0.000 1
Ni1 0.000 0.500 0.500 1
Sn1 0.500 0.500 0.500 1
N1 0.500 0.500 0.000 1

=====

(3)
# PBE-GGA KCuSe2Br, optimized geometry
# Energy relative to the lowest polymorph listed for this composition: 0 meV per atom
# Uncorrected formation energy: -1.771 eV/f.u.
data_KCuSe2Br
_cell_length_a 4.696
_cell_length_b 4.696
_cell_length_c 6.496
_cell_angle_alpha 90.00
_cell_angle_beta 90.00
_cell_angle_gamma 90.00
_space_group_name_H-M_alt 'P 4/m m m'
_space_group_IT_number 123
_space_group_name_Hall '-P 4 2'
loop_
_atom_site_label
_atom_site_fract_x
_atom_site_fract_y
_atom_site_fract_z
_atom_site_occupancy
K1 0.000 0.000 0.000 1
Cu1 0.500 0.500 0.500 1
Se1 0.000 0.500 0.500 1
Br1 0.500 0.500 0.000 1

=====

(4)
# PBE-GGA Tl3ReI, optimized geometry
# Energy relative to the lowest polymorph listed for this composition: 0 meV per atom
# Uncorrected formation energy: 2.462 eV/f.u.
data_Tl3ReI
_cell_length_a 5.444
_cell_length_b 5.444
_cell_length_c 5.444
_cell_angle_alpha 90.00
_cell_angle_beta 90.00
_cell_angle_gamma 90.00
_space_group_name_H-M_alt 'P m -3 m'
_space_group_IT_number 221
_space_group_name_Hall '-P 4 2 3'
loop_
_atom_site_label
_atom_site_fract_x
_atom_site_fract_y
_atom_site_fract_z
_atom_site_occupancy
Tl1 0.000 0.000 0.500 1
Re1 0.000 0.000 0.000 1
I1 0.500 0.500 0.500 1

=====

(5)
# PBE-GGA La2CrCl, optimized geometry
# Energy relative to the lowest polymorph listed for this composition: 91 meV per atom
# Uncorrected formation energy: -1.445 eV/f.u.
data_La2CrCl
_cell_length_a 3.554
_cell_length_b 3.799
_cell_length_c 16.508
_cell_angle_alpha 90.00
_cell_angle_beta 90.00
_cell_angle_gamma 90.00
_space_group_name_H-M_alt 'I m m 2'
_space_group_IT_number 44
_space_group_name_Hall 'I 2 -2'
loop_
_atom_site_label
_atom_site_fract_x
_atom_site_fract_y
_atom_site_fract_z
_atom_site_occupancy
La1 0.000 0.000 0.000 1
La2 0.000 0.500 0.264 1
Cr1 0.000 0.000 0.399 1
Cl1 0.000 0.500 0.658 1

=====

(6)
# PBE-GGA Sr3Te4O11, optimized geometry
# Uncorrected formation energy: -32.899 eV/f.u.
data_Sr3Te4O11
_cell_length_a 7.676
_cell_length_b 9.421
_cell_length_c 9.750
_cell_angle_alpha 98.11
_cell_angle_beta 110.22
_cell_angle_gamma 101.28
_space_group_name_H-M_alt 'P -1'
_space_group_IT_number 2
_space_group_name_Hall '-P 1'
loop_
_atom_site_label
_atom_site_fract_x
_atom_site_fract_y
_atom_site_fract_z
_atom_site_occupancy
Sr1 0.138 0.419 0.177 1
Sr2 0.293 0.540 0.616 1
Sr3 0.310 0.033 0.121 1
Te1 0.014 0.750 0.272 1
Te2 0.076 0.858 0.704 1
Te3 0.463 0.199 0.546 1
Te4 0.499 0.692 0.038 1
O1 0.010 0.936 0.862 1
O2 0.026 0.645 0.099 1
O3 0.048 0.605 0.386 1
O4 0.169 0.283 0.405 1
O5 0.195 0.721 0.798 1
O6 0.297 0.359 0.809 1
O7 0.306 0.862 0.334 1
O8 0.394 0.315 0.110 1
O9 0.431 0.100 0.894 1
O10 0.439 0.595 0.371 1
O11 0.477 0.805 0.624 1

=====

(7)
# PBE-GGA PdBrO3, optimized geometry
# Uncorrected formation energy: 2.624 eV/f.u.
data_PdBrO3
_cell_length_a 3.959
_cell_length_b 3.959
_cell_length_c 3.959
_cell_angle_alpha 90.00
_cell_angle_beta 90.00
_cell_angle_gamma 90.00
_space_group_name_H-M_alt 'P m -3 m'
_space_group_IT_number 221
_space_group_name_Hall '-P 4 2 3'
loop_
_atom_site_label
_atom_site_fract_x
_atom_site_fract_y
_atom_site_fract_z
_atom_site_occupancy
Pd1 0.000 0.000 0.000 1
Br1 0.500 0.500 0.500 1
O1 0.000 0.000 0.500 1

=====

(8)
# PBE-GGA NaHoCd14, optimized geometry
# Energy of formation: -0.08 eV/atom
data_NaHoCd14
_cell_length_a 6.519
_cell_length_b 6.519
_cell_length_c 8.717
_cell_angle_alpha 90.00
_cell_angle_beta 90.00
_cell_angle_gamma 90.00
_space_group_name_H-M_alt 'P 4/m m m'
_space_group_IT_number 123
_space_group_name_Hall '-P 4 2'
loop_
_atom_site_label
_atom_site_fract_x
_atom_site_fract_y
_atom_site_fract_z
_atom_site_occupancy
Na1 0.000 0.000 0.000 1
Ho1 0.500 0.500 0.000 1
Cd1 0.000 0.000 0.500 1
Cd2 0.000 0.500 0.000 1
Cd3 0.000 0.500 0.500 1
Cd4 0.249 0.249 0.256 1
Cd5 0.500 0.500 0.500 1

=====

(9)
# PBE-GGA Pu2Ga4Cu3, optimized geometry
# Energy of formation: -0.24 eV/atom
data_Pu2Ga4Cu3
_cell_length_a 5.471
_cell_length_b 15.142
_cell_length_c 7.619
_cell_angle_alpha 90.00
_cell_angle_beta 90.00
_cell_angle_gamma 90.00
_space_group_name_H-M_alt 'C m c e'
_space_group_IT_number 64
_space_group_name_Hall '-C 2ac 2'
loop_
_atom_site_label
_atom_site_fract_x
_atom_site_fract_y
_atom_site_fract_z
_atom_site_occupancy
Pu1 0.000 0.099 0.110 1
Ga1 0.000 0.182 0.489 1
Ga2 0.250 0.070 0.750 1
Cu1 0.000 0.000 0.500 1
Cu2 0.250 0.234 0.750 1

=====

(10)
# PBE-GGA Hf2TiH6, optimized geometry
# Uncorrected energy: -5.830 eV per atom
data_Hf2TiH6
_cell_length_a 10.475
_cell_length_b 4.326
_cell_length_c 3.366
_cell_angle_alpha 90.00
_cell_angle_beta 105.69
_cell_angle_gamma 90.00
_space_group_name_H-M_alt 'C 1 2/m 1'
_space_group_IT_number 12
_space_group_name_Hall '-C 2y'
loop_
_atom_site_label
_atom_site_fract_x
_atom_site_fract_y
_atom_site_fract_z
_atom_site_occupancy
Hf1 0.164 0.000 0.167 1
Ti1 0.000 0.500 0.500 1
H1 0.000 0.264 0.000 1
H2 0.163 0.257 0.665 1